This record from Alexandria describes a relaxed BaTa3Zn crystal. The functional is PBE-GGA.

Computed properties:
Formation energy: 2.987 eV/atom
Volume: 130.64 Å³/cell
E_tot: -4.764 eV per atom
ΔE to the lowest computed polymorph: 1436 meV/atom

abc: 5.074 5.074 5.074
angles: 90.00 90.00 90.00
Sites, in units of the cell vectors:
Ta 0.500 0.000 0.000
Ta 0.000 0.000 0.500
Ta 0.000 0.500 0.000
Zn 0.500 0.500 0.500
Ba 0.000 0.000 0.000